1.
# V5Si6W5 (PBE, relaxed)
# Fermi-level density of states, states/eV/cell: 11.432
# Formation energy without anion corrections, eV/atom: -0.436
# Crystal system: orthorhombic
# Distance to the lowest polymorph of the same formula, eV per formula unit: 0.000
# Calculated volume, Å³/atom: 13.68
data_V5Si6W5
_chemical_formula_sum 'V5 Si6 W5'
_cell_length_a 4.867
_cell_length_b 7.203
_cell_length_c 7.203
_cell_angle_alpha 119.92
_cell_angle_beta 90.00
_cell_angle_gamma 90.00
_symmetry_space_group_name_H-M 'P 1'
_symmetry_Int_Tables_number 1
loop_
_symmetry_equiv_pos_as_xyz
'x,y,z'
loop_
_atom_site_label
_atom_site_type_symbol
_atom_site_fract_x
_atom_site_fract_y
_atom_site_fract_z
W1 W 0.500 0.002 0.240
W2 W 0.000 0.999 0.759
W3 W 0.500 0.240 0.002
W4 W 0.000 0.759 0.999
W5 W 0.500 0.760 0.760
Si1 Si 0.500 0.402 0.402
Si2 Si 0.000 0.004 0.400
Si3 Si 0.500 0.597 0.000
Si4 Si 0.000 0.593 0.593
Si5 Si 0.500 0.000 0.597
Si6 Si 0.000 0.400 0.004
V1 V 0.000 0.242 0.242
V2 V 0.751 0.334 0.668
V3 V 0.249 0.668 0.334
V4 V 0.751 0.668 0.334
V5 V 0.249 0.334 0.668

2.
# V3SiW (PBE, relaxed)
# Fermi-level density of states, states/eV/cell: 10.735
# Formation energy without anion corrections, eV/atom: 0.065
# Crystal system: monoclinic
# Distance to the lowest polymorph of the same formula, eV per formula unit: 0.000
# Calculated volume, Å³/atom: 14.32
data_V3SiW
_chemical_formula_sum 'V6 Si2 W2'
_cell_length_a 4.577
_cell_length_b 5.040
_cell_length_c 6.278
_cell_angle_alpha 90.00
_cell_angle_beta 98.39
_cell_angle_gamma 90.00
_symmetry_space_group_name_H-M 'P 1'
_symmetry_Int_Tables_number 1
loop_
_symmetry_equiv_pos_as_xyz
'x,y,z'
loop_
_atom_site_label
_atom_site_type_symbol
_atom_site_fract_x
_atom_site_fract_y
_atom_site_fract_z
V1 V 0.150 0.485 0.192
V2 V 0.730 0.250 0.476
V3 V 0.850 0.515 0.808
V4 V 0.850 0.985 0.808
V5 V 0.270 0.750 0.524
V6 V 0.150 0.015 0.192
Si1 Si 0.627 0.250 0.092
Si2 Si 0.373 0.750 0.908
W1 W 0.305 0.250 0.719
W2 W 0.695 0.750 0.281

3.
# V3SiW (PBE, relaxed)
# Fermi-level density of states, states/eV/cell: 7.532
# Formation energy without anion corrections, eV/atom: 0.895
# Crystal system: cubic
# Distance to the lowest polymorph of the same formula, eV per formula unit: 4.148
# Calculated volume, Å³/atom: 16.04
data_V3SiW
_chemical_formula_sum 'V3 Si1 W1'
_cell_length_a 4.313
_cell_length_b 4.313
_cell_length_c 4.313
_cell_angle_alpha 90.00
_cell_angle_beta 90.00
_cell_angle_gamma 90.00
_symmetry_space_group_name_H-M 'P 1'
_symmetry_Int_Tables_number 1
loop_
_symmetry_equiv_pos_as_xyz
'x,y,z'
loop_
_atom_site_label
_atom_site_type_symbol
_atom_site_fract_x
_atom_site_fract_y
_atom_site_fract_z
V1 V 0.000 0.500 0.000
V2 V 0.000 0.000 0.500
V3 V 0.500 0.000 0.000
W1 W 0.500 0.500 0.500
Si1 Si 0.000 0.000 0.000

4.
# VSiW (PBE, relaxed)
# Fermi-level density of states, states/eV/cell: 7.038
# Formation energy without anion corrections, eV/atom: -0.182
# Crystal system: orthorhombic
# Calculated volume, Å³/atom: 13.70
data_VSiW
_chemical_formula_sum 'V4 Si4 W4'
_cell_length_a 4.793
_cell_length_b 4.793
_cell_length_c 8.148
_cell_angle_alpha 90.00
_cell_angle_beta 90.00
_cell_angle_gamma 118.56
_symmetry_space_group_name_H-M 'P 1'
_symmetry_Int_Tables_number 1
loop_
_symmetry_equiv_pos_as_xyz
'x,y,z'
loop_
_atom_site_label
_atom_site_type_symbol
_atom_site_fract_x
_atom_site_fract_y
_atom_site_fract_z
Si1 Si 0.168 0.348 0.000
Si2 Si 0.005 0.995 0.253
Si3 Si 0.652 0.832 0.000
Si4 Si 0.005 0.995 0.747
V1 V 0.832 0.168 0.500
V2 V 0.345 0.165 0.500
V3 V 0.835 0.655 0.500
V4 V 0.161 0.839 0.000
W1 W 0.338 0.662 0.689
W2 W 0.660 0.340 0.188
W3 W 0.660 0.340 0.812
W4 W 0.338 0.662 0.311

5.
# V4Si2W (PBE, relaxed)
# Fermi-level density of states, states/eV/cell: 7.731
# Formation energy without anion corrections, eV/atom: 1.040
# Crystal system: tetragonal
# Calculated volume, Å³/atom: 18.51
data_V4Si2W
_chemical_formula_sum 'V4 Si2 W1'
_cell_length_a 4.461
_cell_length_b 4.461
_cell_length_c 7.235
_cell_angle_alpha 72.04
_cell_angle_beta 72.04
_cell_angle_gamma 90.00
_symmetry_space_group_name_H-M 'P 1'
_symmetry_Int_Tables_number 1
loop_
_symmetry_equiv_pos_as_xyz
'x,y,z'
loop_
_atom_site_label
_atom_site_type_symbol
_atom_site_fract_x
_atom_site_fract_y
_atom_site_fract_z
W1 W 0.000 0.000 0.000
V1 V 0.000 0.500 0.000
V2 V 0.500 0.000 0.000
V3 V 0.812 0.812 0.376
V4 V 0.188 0.188 0.624
Si1 Si 0.378 0.378 0.243
Si2 Si 0.622 0.622 0.757

6.
# V5Si2W (PBE, relaxed)
# Fermi-level density of states, states/eV/cell: 5.161
# Formation energy without anion corrections, eV/atom: -0.159
# Crystal system: orthorhombic
# Calculated volume, Å³/atom: 13.94
data_V5Si2W
_chemical_formula_sum 'V5 Si2 W1'
_cell_length_a 3.157
_cell_length_b 6.188
_cell_length_c 6.188
_cell_angle_alpha 77.43
_cell_angle_beta 75.22
_cell_angle_gamma 75.22
_symmetry_space_group_name_H-M 'P 1'
_symmetry_Int_Tables_number 1
loop_
_symmetry_equiv_pos_as_xyz
'x,y,z'
loop_
_atom_site_label
_atom_site_type_symbol
_atom_site_fract_x
_atom_site_fract_y
_atom_site_fract_z
V1 V 0.351 0.457 0.841
V2 V 0.351 0.841 0.457
V3 V 0.649 0.159 0.543
V4 V 0.000 0.500 0.500
V5 V 0.649 0.543 0.159
Si1 Si 0.279 0.221 0.221
Si2 Si 0.721 0.779 0.779
W1 W 0.000 0.000 0.000

7.
# VSiW2 (PBE, relaxed)
# Fermi-level density of states, states/eV/cell: 7.910
# Formation energy without anion corrections, eV/atom: 0.715
# Crystal system: tetragonal
# Calculated volume, Å³/atom: 15.86
data_VSiW2
_chemical_formula_sum 'V2 Si2 W4'
_cell_length_a 6.823
_cell_length_b 6.823
_cell_length_c 5.541
_cell_angle_alpha 52.00
_cell_angle_beta 52.00
_cell_angle_gamma 90.00
_symmetry_space_group_name_H-M 'P 1'
_symmetry_Int_Tables_number 1
loop_
_symmetry_equiv_pos_as_xyz
'x,y,z'
loop_
_atom_site_label
_atom_site_type_symbol
_atom_site_fract_x
_atom_site_fract_y
_atom_site_fract_z
W1 W 0.614 0.125 0.250
W2 W 0.136 0.625 0.250
W3 W 0.875 0.864 0.750
W4 W 0.375 0.386 0.750
Si1 Si 0.250 0.750 0.500
Si2 Si 0.500 0.500 0.000
V1 V 0.750 0.250 0.500
V2 V 0.000 0.000 0.000

8.
# VSi2W2 (PBE, relaxed)
# Fermi-level density of states, states/eV/cell: 9.102
# Formation energy without anion corrections, eV/atom: -0.156
# Crystal system: tetragonal
# Distance to the lowest polymorph of the same formula, eV per formula unit: 0.000
# Calculated volume, Å³/atom: 14.16
data_VSi2W2
_chemical_formula_sum 'V2 Si4 W4'
_cell_length_a 6.450
_cell_length_b 6.450
_cell_length_c 3.402
_cell_angle_alpha 90.00
_cell_angle_beta 90.00
_cell_angle_gamma 90.00
_symmetry_space_group_name_H-M 'P 1'
_symmetry_Int_Tables_number 1
loop_
_symmetry_equiv_pos_as_xyz
'x,y,z'
loop_
_atom_site_label
_atom_site_type_symbol
_atom_site_fract_x
_atom_site_fract_y
_atom_site_fract_z
Si1 Si 0.365 0.865 0.000
Si2 Si 0.865 0.635 0.000
Si3 Si 0.135 0.365 0.000
Si4 Si 0.635 0.135 0.000
W1 W 0.664 0.836 0.500
W2 W 0.164 0.664 0.500
W3 W 0.836 0.336 0.500
W4 W 0.336 0.164 0.500
V1 V 0.000 0.000 0.000
V2 V 0.500 0.500 0.000

What is the Fermi-level density of states in the second record? 10.735 states/eV/cell

What did the seventh record say?
# VSiW2 (PBE, relaxed)
# Fermi-level density of states, states/eV/cell: 7.910
# Formation energy without anion corrections, eV/atom: 0.715
# Crystal system: tetragonal
# Calculated volume, Å³/atom: 15.86
data_VSiW2
_chemical_formula_sum 'V2 Si2 W4'
_cell_length_a 6.823
_cell_length_b 6.823
_cell_length_c 5.541
_cell_angle_alpha 52.00
_cell_angle_beta 52.00
_cell_angle_gamma 90.00
_symmetry_space_group_name_H-M 'P 1'
_symmetry_Int_Tables_number 1
loop_
_symmetry_equiv_pos_as_xyz
'x,y,z'
loop_
_atom_site_label
_atom_site_type_symbol
_atom_site_fract_x
_atom_site_fract_y
_atom_site_fract_z
W1 W 0.614 0.125 0.250
W2 W 0.136 0.625 0.250
W3 W 0.875 0.864 0.750
W4 W 0.375 0.386 0.750
Si1 Si 0.250 0.750 0.500
Si2 Si 0.500 0.500 0.000
V1 V 0.750 0.250 0.500
V2 V 0.000 0.000 0.000

Which value of formation energy without anion corrections does entry 4 give? -0.182 eV/atom